No. 1
5
Lattice="5.199 0.000 0.000 0.000 6.248 0.000 0.000 0.000 5.199" Properties=species:S:1:pos:R:3 comment="CsSc2TlW | the Alexandria database | PBE | optimized geometry" spacegroup=P4/mmm e_tot_ev_per_atom=-4.71 rho_g_cm3=6.01 pbc="T T T"
Tl 2.599 3.124 2.599
Sc 2.599 0.000 0.000
Sc 0.000 0.000 2.599
W 0.000 0.000 0.000
Cs 0.000 3.124 0.000

***

No. 2
4
Lattice="-1.922 0.199 1.938 0.319 -2.362 -1.344 6.338 -2.888 6.582" Properties=species:S:1:pos:R:3 comment="Os2RhAu | the Alexandria database | PBE | optimized geometry" spacegroup=Cmm2 e_tot_ev_per_atom=-7.76 rho_g_cm3=18.09 e_above_lowest_polymorph_kj_per_mol_fu=116 pbc="T T T"
Os 6.237 -2.842 6.478
Au 0.799 -1.811 1.959
Os 3.959 -3.251 5.241
Rh 3.248 -1.480 3.373

***

No. 3
6
Lattice="-2.500 1.065 -5.574 -0.452 -0.793 -6.133 -4.310 -4.598 -0.515" Properties=species:S:1:pos:R:3 comment="KCr5 | the Alexandria database | PBE | optimized geometry" spacegroup=Cm e_tot_ev_per_atom=-7.24 rho_g_cm3=4.74 e_above_lowest_polymorph_kj_per_mol_fu=101 pbc="T T T"
Cr -3.185 -1.320 -7.275
K -5.013 -4.214 -4.366
Cr -0.254 -0.051 -0.758
Cr -4.618 -1.673 -11.347
Cr -4.705 -2.930 -7.494
Cr -2.802 -2.069 -3.388

***

No. 4
8
Lattice="-2.542 0.046 -4.338 2.820 -4.374 -1.699 -6.212 -4.319 3.594" Properties=species:S:1:pos:R:3 comment="AcIn2Au | the Alexandria database | PBE | optimized geometry" spacegroup=P2_1/m e_tot_ev_per_atom=-3.70 rho_g_cm3=9.47 e_above_lowest_polymorph_kj_per_mol_fu=25 pbc="T T T"
In -3.552 -3.060 0.592
Au -2.552 -5.627 -0.021
In -6.233 -3.926 2.154
Ac -0.382 -3.214 -1.267
In -2.381 -5.587 -3.034
Ac -5.552 -5.433 -1.175
Au -3.382 -3.020 -2.421
In 0.300 -4.721 -4.596

***

no.,formation energy (eV/atom)
1,1.06
2,0.52
3,0.96
4,-0.48